(1)
This record from OQMD via LeMat-Bulk describes an optimized crystal structure of PrHfBi. The functional is PBE-GGA.

Properties
For the uncorrected energy, the calculation gives -0.450 Ry per atom. The calculation puts the total magnetization at 0.03 Bohr magnetons per cell. Its space group is F-43m. The mass density is 9405 kg/m3.

a = 5.0908 Å, b = 5.0908 Å, c = 5.0908 Å
α = 60.00°, β = 60.00°, γ = 60.00°
With the nearest neighbours (Å) after each atom.
Sites, in units of the cell vectors:
Hf 0.2500 0.2500 0.2500  4 Bi 3.12
Bi 0.0000 0.0000 0.0000  4 Hf 3.12, 4 Pr 3.12
Pr 0.7500 0.7500 0.7500  4 Bi 3.12


(2)
This record from OQMD via LeMat-Bulk describes an optimized crystal structure of NdSmAg2Sn2. The functional is PBE-GGA.

Properties
For the uncorrected energy, the calculation gives -0.329 Ry per atom. The calculation puts the total magnetization at 0.00 Bohr magnetons per cell. Its space group is P3m1. The mass density is 8297 kg/m3.

a = 4.7900 Å, b = 4.7900 Å, c = 7.5312 Å
α = 90.00°, β = 90.00°, γ = 120.00°
With the nearest neighbours (Å) after each atom.
Sites, in units of the cell vectors:
Nd 0.0000 0.0000 0.7579  3 Ag 3.15, 6 Sn 3.24-3.48
Sn 0.6667 0.3333 0.0393  4 Ag 2.83-3.11
Sn 0.3333 0.6667 0.5347  3 Ag 2.84
Ag 0.3333 0.6667 0.9579  3 Sn 2.83, 3 Nd 3.15
Ag 0.6667 0.3333 0.4517  4 Sn 2.84-3.11, 3 Sm 3.13
Sm 0.0000 0.0000 0.2584  3 Ag 3.13, 6 Sn 3.22-3.46


(3)
This record from OQMD via LeMat-Bulk describes an optimized crystal structure of K2Sr2Hg3. The functional is PBE-GGA.

Properties
For the uncorrected energy, the calculation gives -0.085 Ry per atom. Its space group is R3m. The mass density is 5211 kg/m3.

a = 10.0125 Å, b = 10.0125 Å, c = 10.0125 Å
α = 33.51°, β = 33.51°, γ = 33.51°
With the nearest neighbours (Å) after each atom.
Sites, in units of the cell vectors:
Sr 0.9988 0.9988 0.9988  7 Hg 3.52-3.55
Sr 0.5016 0.5016 0.5016  5 Hg 3.51-3.58
K 0.2484 0.2484 0.2484  7 Hg 3.53-3.59
K 0.7512 0.7512 0.7512  5 Hg 3.49-3.56
Hg 0.6257 0.6257 0.6257  4 Sr 3.51-3.52, 4 K 3.56
Hg 0.8743 0.8743 0.8743  4 K 3.49-3.53, 4 Sr 3.51-3.52
Hg 0.3751 0.3751 0.3751  4 K 3.55-3.59, 4 Sr 3.55-3.58


(4)
This record from OQMD via LeMat-Bulk describes an optimized crystal structure of K2GdHo2Mg3Cd. The functional is PBE-GGA.

Properties
For the uncorrected energy, the calculation gives -0.145 Ry per atom. The calculation puts the total magnetization at 0.07 Bohr magnetons per cell. Its space group is Amm2. The mass density is 4402 kg/m3.

a = 4.8777 Å, b = 8.2048 Å, c = 8.2048 Å
α = 120.42°, β = 90.00°, γ = 90.00°
With the nearest neighbours (Å) after each atom.
Sites, in units of the cell vectors:
Ho 0.0000 0.9968 0.3745  1 Cd 3.07
Ho 0.0000 0.3745 0.9968  1 Cd 3.07
Mg 0.5000 0.2177 0.2177  2 Cd 3.00, 2 Mg 3.06, 2 K 3.30
Mg 0.5000 0.0009 0.7855  2 Cd 3.02, 2 Mg 3.06-3.07, 2 K 3.32-3.33
Mg 0.5000 0.7855 0.0009  2 Cd 3.02, 2 Mg 3.06-3.07, 2 K 3.32-3.33
Gd 0.0000 0.6237 0.6237  1 Cd 3.10
K 0.5000 0.6653 0.3313  3 Mg 3.30-3.33, 4 Ho 3.54, 2 Gd 3.56
K 0.5000 0.3313 0.6653  3 Mg 3.30-3.33, 4 Ho 3.54, 2 Gd 3.56
Cd 0.0000 0.0043 0.0043  6 Mg 3.00-3.02, 2 Ho 3.07, 1 Gd 3.10